<w>
VASP calculation (PBE) on a relaxed structure of AlMo2Pb.

Output
* SG: I-42d
* magnetic moment: 0.0 μB/f.u.

Cell lengths 4.0247, 4.0247, 10.2057 Å; angles 78.63, 78.63, 90.00 degrees
Closest atoms and distances in Å follow each position.
Element x y z (fractional)
Pb 0.0000 0.0000 0.0000  4 Al 2.85, 4 Mo 2.93
Pb 0.7500 0.2500 0.5000  4 Al 2.85, 4 Mo 2.93
Mo 0.1878 0.6250 0.2500  2 Mo 2.51, 2 Al 2.75
Mo 0.8750 0.8122 0.7500  2 Mo 2.51, 2 Al 2.75
Mo 0.5622 0.1250 0.2500  2 Mo 2.51, 2 Al 2.75
Mo 0.3750 0.4378 0.7500  2 Mo 2.51, 2 Al 2.75
Al 0.5000 0.5000 0.0000  4 Mo 2.75, 4 Pb 2.85
Al 0.2500 0.7500 0.5000  4 Mo 2.75, 4 Pb 2.85

<x>
VASP calculation (PBE) on a relaxed structure of AlMo2Pb.

Output
* SG: Cmmm
* magnetic moment: 0.0 μB/f.u.

Cell lengths 2.9154, 2.9154, 8.8563 Å; angles 90.00, 90.00, 106.90 degrees
Closest atoms and distances in Å follow each position.
Element x y z (fractional)
Mo 0.0000 0.0000 0.5224  2 Al 2.66, 4 Mo 2.92, 2 Pb 2.97
Mo 0.0000 0.0000 0.9776  2 Al 2.66, 4 Mo 2.92, 2 Pb 2.97
Al 0.5000 0.5000 0.7500  4 Mo 2.66, 4 Al 2.92
Pb 0.5000 0.5000 0.2500  4 Pb 2.92, 4 Mo 2.97

Which structure is the least stable? The one labeled <w>.

<w>
VASP calculation (PBE) on a relaxed structure of AlMo2Pb.

Output
* SG: F-43m
* magnetic moment: 0.0 μB/f.u.

Cell lengths 4.6525, 4.6525, 4.6525 Å; angles 60.00, 60.00, 60.00 degrees
Closest atoms and distances in Å follow each position.
Element x y z (fractional)
Al 0.5000 0.5000 0.5000  4 Pb 2.85, 4 Mo 2.85
Pb 0.7500 0.7500 0.7500  4 Mo 2.85, 4 Al 2.85
Mo 0.0000 0.0000 0.0000  4 Mo 2.85, 4 Pb 2.85
Mo 0.2500 0.2500 0.2500  4 Al 2.85, 4 Mo 2.85

<x>
VASP calculation (PBE) on a relaxed structure of AlMo2Pb.

Output
* SG: C2/m
* magnetic moment: 0.0 μB/f.u.

Cell lengths 5.5070, 5.3280, 2.9556 Å; angles 79.15, 80.06, 117.97 degrees
Closest atoms and distances in Å follow each position.
Element x y z (fractional)
Mo 0.5000 0.0000 0.5000  2 Pb 2.79, 2 Al 2.79, 4 Mo 2.89-2.96
Mo 0.0000 0.0000 0.0000  2 Al 2.79, 2 Pb 2.79, 4 Mo 2.89-2.96
Pb 0.0000 0.5000 0.5000  4 Mo 2.79, 2 Al 2.89, 2 Pb 2.96
Al 0.5000 0.5000 0.0000  4 Mo 2.79, 2 Pb 2.89, 2 Al 2.96

Which structure is the least stable? The one labeled <w>.

<w>
VASP calculation (PBE) on a relaxed structure of AlMo2Pb.

Output
* SG: I-4m2
* magnetic moment: 0.0 μB/f.u.

Cell lengths 5.0862, 5.0862, 5.0862 Å; angles 132.40, 132.40, 69.60 degrees
Closest atoms and distances in Å follow each position.
Element x y z (fractional)
Mo 0.0000 0.0000 0.0000  4 Pb 2.90, 4 Mo 2.93, 4 Al 2.93
Mo 0.2500 0.7500 0.5000  4 Al 2.90, 4 Mo 2.93, 4 Pb 2.93
Pb 0.5000 0.5000 0.0000  8 Mo 2.90-2.93, 4 Al 2.93
Al 0.7500 0.2500 0.5000  8 Mo 2.90-2.93, 4 Pb 2.93

<x>
VASP calculation (PBE) on a relaxed structure of AlMo2Pb.

Output
* SG: P4/mmm
* magnetic moment: 0.0 μB/f.u.

Cell lengths 3.4390, 3.4393, 6.2908 Å; angles 90.00, 90.00, 90.00 degrees
Closest atoms and distances in Å follow each position.
Element x y z (fractional)
Pb 0.5000 0.5000 0.2500  8 Mo 3.11, 2 Al 3.15, 4 Pb 3.44
Al 0.5000 0.5000 0.7500  8 Mo 2.71
Mo 0.0000 0.0000 0.9407  1 Mo 2.40
Mo 0.0000 0.0000 0.5593  1 Mo 2.40

Which structure is the least stable? The one labeled <w>.

<w>
VASP calculation (PBE) on a relaxed structure of Al2MoPd.

Output
* SG: Fm-3m
* magnetic moment: 0.0 μB/f.u.

Cell lengths 4.3685, 4.3685, 4.3685 Å; angles 60.00, 60.00, 60.00 degrees
Closest atoms and distances in Å follow each position.
Element x y z (fractional)
Pd 0.5000 0.5000 0.5000  8 Al 2.68
Mo 0.0000 0.0000 0.0000  8 Al 2.68
Al 0.7500 0.7500 0.7500  4 Pd 2.68, 4 Mo 2.68
Al 0.2500 0.2500 0.2500  4 Mo 2.68, 4 Pd 2.68

<x>
VASP calculation (PBE) on a relaxed structure of Al2MoPd.

Output
* SG: I-42d
* magnetic moment: 0.0 μB/f.u.

Cell lengths 6.8018, 6.8018, 5.5901 Å; angles 52.53, 52.53, 90.00 degrees
Closest atoms and distances in Å follow each position.
Element x y z (fractional)
Al 0.8750 0.8953 0.7500  2 Pd 2.42, 2 Mo 2.60
Al 0.3750 0.3547 0.7500  2 Pd 2.42, 2 Mo 2.60
Al 0.1047 0.6250 0.2500  2 Pd 2.42, 2 Mo 2.60
Al 0.6453 0.1250 0.2500  2 Pd 2.42, 2 Mo 2.60
Pd 0.7500 0.2500 0.5000  4 Al 2.42
Pd 0.0000 0.0000 0.0000  4 Al 2.42
Mo 0.2500 0.7500 0.5000  4 Al 2.60, 2 Pd 2.85
Mo 0.5000 0.5000 0.0000  4 Al 2.60, 2 Pd 2.85

<y>
VASP calculation (PBE) on a relaxed structure of Al2MoPd.

Output
* SG: P4/mmm
* magnetic moment: 0.0 μB/f.u.

Cell lengths 3.0688, 4.3945, 4.3945 Å; angles 90.00, 90.00, 90.00 degrees
Closest atoms and distances in Å follow each position.
Element x y z (fractional)
Al 0.0000 0.5000 0.0000  4 Mo 2.68, 4 Pd 2.68
Al 0.0000 0.0000 0.5000  4 Pd 2.68, 4 Mo 2.68
Mo 0.5000 0.0000 0.0000  8 Al 2.68
Pd 0.5000 0.5000 0.5000  8 Al 2.68

Which structure is the least stable? The one labeled <x>.

<w>
VASP calculation (PBE) on a relaxed structure of Al2MoPt.

Output
* SG: C2/m
* magnetic moment: 0.0 μB/f.u.

Cell lengths 5.1151, 5.1151, 2.7678 Å; angles 76.31, 76.31, 111.35 degrees
Closest atoms and distances in Å follow each position.
Element x y z (fractional)
Pt 0.0000 0.5000 0.5000  4 Al 2.60, 2 Pt 2.77, 2 Mo 2.88
Al 0.5000 0.5000 0.0000  2 Mo 2.60, 2 Pt 2.60, 4 Al 2.77-2.88
Al 0.0000 0.0000 0.0000  2 Pt 2.60, 2 Mo 2.60, 4 Al 2.77-2.88
Mo 0.5000 0.0000 0.5000  4 Al 2.60, 2 Mo 2.77, 2 Pt 2.88

<x>
VASP calculation (PBE) on a relaxed structure of Al2MoPt.

Output
* SG: Fm-3m
* magnetic moment: 0.0 μB/f.u.

Cell lengths 4.3625, 4.3625, 4.3625 Å; angles 60.00, 60.00, 60.00 degrees
Closest atoms and distances in Å follow each position.
Element x y z (fractional)
Mo 0.0000 0.0000 0.0000  8 Al 2.67
Al 0.2500 0.2500 0.2500  4 Pt 2.67, 4 Mo 2.67
Al 0.7500 0.7500 0.7500  4 Mo 2.67, 4 Pt 2.67
Pt 0.5000 0.5000 0.5000  8 Al 2.67

Which structure is the least stable? The one labeled <w>.

<w>
VASP calculation (PBE) on a relaxed structure of Al2MoPt.

Output
* SG: R-3m
* magnetic moment: 0.0 μB/f.u.

Cell lengths 8.7946, 8.7946, 8.7946 Å; angles 18.75, 18.75, 18.75 degrees
Closest atoms and distances in Å follow each position.
Element x y z (fractional)
Pt 0.7500 0.7500 0.7500  6 Al 2.68, 6 Pt 2.86
Al 0.4979 0.4979 0.4979  3 Pt 2.68, 3 Mo 2.76, 6 Al 2.86
Al 0.0021 0.0021 0.0021  3 Pt 2.68, 3 Mo 2.76, 6 Al 2.86
Mo 0.2500 0.2500 0.2500  6 Al 2.76, 6 Mo 2.86

<x>
VASP calculation (PBE) on a relaxed structure of Al2MoPt.

Output
* SG: P4/mmm
* magnetic moment: 0.0 μB/f.u.

Cell lengths 2.7891, 2.7891, 7.7268 Å; angles 90.00, 90.00, 90.00 degrees
Closest atoms and distances in Å follow each position.
Element x y z (fractional)
Pt 0.5000 0.5000 0.7500  8 Al 2.70, 4 Pt 2.79
Al 0.0000 0.0000 0.9889  4 Pt 2.70, 4 Al 2.79, 4 Mo 2.82
Al 0.0000 0.0000 0.5111  4 Pt 2.70, 4 Al 2.79, 4 Mo 2.82
Mo 0.5000 0.5000 0.2500  4 Mo 2.79, 8 Al 2.82

Which structure is the least stable? The one labeled <w>.